Here is a relaxed structure of CaZrNF2 from the Alexandria database. Energies are from PBE-GGA.

extended XYZ file:
```
5
Lattice="4.307 0.000 0.000 0.000 4.307 0.000 0.000 0.000 4.290" Properties=species:S:1:pos:R:3 pbc="T T T"
Ca 0.000 0.000 0.000
Zr 2.153 2.153 2.145
N 2.153 2.153 0.000
F 0.000 2.153 2.145
F 2.153 0.000 2.145
```

- total moment (μB per atom) = 0.0023
- energy relative to the lowest polymorph listed for this composition (eV/f.u.) = 0.000
- uncorrected energy (eV/atom) = -6.60